Record 1
The following is a PBE calculation of crystalline TlTePt at its relaxed geometry, from Alexandria.

Calculated values
* space-group type: I4mm, No. 107
* M_tot: 0.00 Bohr magnetons per cell
* DFT total energy: -3.90 eV/atom

abc: 7.1810 7.1811 3.6183
angles: 75.41 75.41 29.18
With the nearest neighbours (Å) after each atom.
Sites, in units of the cell vectors:
Pt 0.9627 0.9627 0.0373  4 Te 2.70
Te 0.3973 0.3973 0.6027  4 Pt 2.70
Tl 0.6399 0.6399 0.3601  1 Te 3.26, 4 Pt 3.49, 4 Tl 3.62

---

Record 2
The following is a PBE calculation of crystalline AgWBr4 at its relaxed geometry, from Alexandria.

Calculated values
* excess energy over the best structure of this formula in the dataset: 0 meV per atom
* space-group type: C2/c, No. 15
* M_tot: 0.00 Bohr magnetons per cell
* DFT total energy: -4.03 eV/atom

abc: 5.7126 8.3055 8.3055
angles: 65.01 95.93 95.93
With the nearest neighbours (Å) after each atom.
Sites, in units of the cell vectors:
Ag 0.2500 0.9463 0.0537  4 Br 2.71-2.85, 2 Ag 3.01
Ag 0.7500 0.0537 0.9463  4 Br 2.71-2.85, 2 Ag 3.01
W 0.7500 0.5738 0.4262  6 Br 2.54-2.69
W 0.2500 0.4262 0.5738  6 Br 2.54-2.69
Br 0.9537 0.5058 0.7326  2 W 2.54
Br 0.9504 0.9076 0.3026  1 W 2.69, 2 Ag 2.71-2.85
Br 0.5463 0.2674 0.4942  2 W 2.54
Br 0.5496 0.6974 0.0924  1 W 2.69, 2 Ag 2.71-2.85
Br 0.4504 0.3026 0.9076  1 W 2.69, 2 Ag 2.71-2.85
Br 0.4537 0.7326 0.5058  2 W 2.54
Br 0.0496 0.0924 0.6974  1 W 2.69, 2 Ag 2.71-2.85
Br 0.0463 0.4942 0.2674  2 W 2.54

---

Record 3
The following is a PBE calculation of crystalline Na2AlAgCl6 at its relaxed geometry, from Alexandria.

Calculated values
* excess energy over the best structure of this formula in the dataset: 41 meV per atom
* space-group type: Fm-3m, No. 225
* M_tot: 0.00 Bohr magnetons per cell
* DFT total energy: -3.32 eV/atom

abc: 7.0930 7.0930 7.0930
angles: 60.00 60.00 60.00
With the nearest neighbours (Å) after each atom.
Sites, in units of the cell vectors:
Na 0.7500 0.7500 0.7500  12 Cl 3.55
Na 0.2500 0.2500 0.2500  12 Cl 3.55
Al 0.0000 0.0000 0.0000  6 Cl 2.33
Ag 0.5000 0.5000 0.5000  6 Cl 2.68
Cl 0.2328 0.7672 0.2328  1 Al 2.33
Cl 0.7672 0.2328 0.2328  1 Al 2.33
Cl 0.7672 0.2328 0.7672  1 Al 2.33
Cl 0.2328 0.2328 0.7672  1 Al 2.33
Cl 0.7672 0.7672 0.2328  1 Al 2.33
Cl 0.2328 0.7672 0.7672  1 Al 2.33

---

Q: The lowest DFT total energy belongs to which entry?
A: AgWBr4